# 1
## CeYTl2 (PBE)

Data for a geometry-optimized CeYTl2 structure.

a = 5.449 Å, b = 5.449 Å, c = 5.449 Å
α = 60.00°, β = 60.00°, γ = 60.00°
Last column: magnetic moment on the atom in μB.
Sites, in units of the cell vectors:
Y: 0.000 0.000 0.000  0.06
Tl: 0.750 0.750 0.750  0.01
Tl: 0.250 0.250 0.250  0.01
Ce: 0.500 0.500 0.500  0.87

As for the calculated formation energy: -1.19 eV per formula unit. The magnetic moment comes out at 1.1 Bohr magnetons per cell. The space group is Fm-3m (225).

# 2
## CeY2Tl (PBE)

Data for a geometry-optimized CeY2Tl structure.

a = 5.509 Å, b = 5.509 Å, c = 5.509 Å
α = 60.00°, β = 60.00°, γ = 60.00°
Last column: magnetic moment on the atom in μB.
Sites, in units of the cell vectors:
Ce: 0.500 0.500 0.500  0.86
Y: 0.000 0.000 0.000  0.18
Y: 0.250 0.250 0.250  0.32
Tl: 0.750 0.750 0.750  -0.02

As for the calculated formation energy: 0.00 eV per formula unit. The magnetic moment comes out at 1.9 Bohr magnetons per cell. The space group is F-43m (216).

# 3
## Ce2YTl (PBE)

Data for a geometry-optimized Ce2YTl structure.

a = 4.570 Å, b = 4.315 Å, c = 11.552 Å
α = 90.00°, β = 99.37°, γ = 90.00°
Sites, in units of the cell vectors:
Ce: 0.613 0.250 0.117
Ce: 0.387 0.750 0.883
Ce: 0.002 0.750 0.112
Ce: 0.998 0.250 0.888
Y: 0.698 0.750 0.393
Y: 0.302 0.250 0.607
Tl: 0.181 0.250 0.331
Tl: 0.819 0.750 0.669

As for the calculated formation energy: -0.72 eV per formula unit. The magnetic moment comes out at 0.0 Bohr magnetons per cell. The space group is P2_1/m (11).

# 4
## Ce2Y5Tl4 (PBE)

Data for a geometry-optimized Ce2Y5Tl4 structure.

a = 3.550 Å, b = 10.714 Å, c = 10.741 Å
α = 119.91°, β = 99.51°, γ = 90.00°
Last column: magnetic moment on the atom in μB.
Sites, in units of the cell vectors:
Ce: 0.177 0.177 0.355  0.89
Ce: 0.823 0.823 0.645  0.89
Y: 0.183 0.508 0.365  0.05
Y: 0.817 0.492 0.635  0.05
Y: 0.183 0.858 0.365  0.05
Y: 0.500 0.000 0.000  0.04
Y: 0.817 0.142 0.635  0.05
Tl: 0.580 0.580 0.160  -0.01
Tl: 0.000 0.253 0.000  0.00
Tl: 0.420 0.420 0.840  -0.01
Tl: 0.000 0.747 0.000  0.00

As for the calculated formation energy: 1.04 eV per formula unit. The magnetic moment comes out at 2.6 Bohr magnetons per cell. The space group is Immm (71).

# 5
## CeYTl2 (PBE)

Data for a geometry-optimized CeYTl2 structure.

a = 3.715 Å, b = 3.715 Å, c = 10.297 Å
α = 79.61°, β = 79.61°, γ = 60.00°
Last column: magnetic moment on the atom in μB.
Sites, in units of the cell vectors:
Y: 0.500 0.500 0.500  -0.02
Tl: 0.752 0.752 0.743  0.00
Tl: 0.248 0.248 0.257  0.00
Ce: 0.000 0.000 0.000  0.93

As for the calculated formation energy: -0.73 eV per formula unit. The magnetic moment comes out at 1.2 Bohr magnetons per cell. The space group is R-3m (166).

# 6
## Ce2YTl (PBE)

Data for a geometry-optimized Ce2YTl structure.

a = 5.263 Å, b = 4.608 Å, c = 4.608 Å
α = 90.00°, β = 90.00°, γ = 90.00°
Last column: magnetic moment on the atom in μB.
Sites, in units of the cell vectors:
Y: 0.500 0.000 0.000  0.05
Tl: 0.500 0.500 0.500  -0.02
Ce: 0.000 0.000 0.500  0.68
Ce: 0.000 0.500 0.000  0.68

As for the calculated formation energy: -0.58 eV per formula unit. The magnetic moment comes out at 1.7 Bohr magnetons per cell. The space group is P4/mmm (123).

# 7
## CeY2Tl4 (PBE)

Data for a geometry-optimized CeY2Tl4 structure.

a = 4.934 Å, b = 4.934 Å, c = 10.507 Å
α = 76.42°, β = 76.42°, γ = 60.00°
Last column: magnetic moment on the atom in μB.
Sites, in units of the cell vectors:
Ce: 0.000 0.000 0.000  0.82
Y: 0.129 0.129 0.612  -0.02
Y: 0.871 0.871 0.388  -0.02
Tl: 0.384 0.384 0.847  0.00
Tl: 0.243 0.243 0.271  -0.01
Tl: 0.757 0.757 0.729  -0.01
Tl: 0.616 0.616 0.153  0.00

As for the calculated formation energy: -0.74 eV per formula unit. The magnetic moment comes out at 0.8 Bohr magnetons per cell. The space group is R-3m (166).

# 8
## CeY2Tl5 (PBE)

Data for a geometry-optimized CeY2Tl5 structure.

a = 6.678 Å, b = 6.678 Å, c = 6.678 Å
α = 106.90°, β = 106.90°, γ = 114.74°
Last column: magnetic moment on the atom in μB.
Sites, in units of the cell vectors:
Ce: 0.779 0.778 0.000  0.95
Y: 0.278 0.778 0.500  0.12
Y: 0.778 0.278 0.500  0.12
Tl: 0.278 0.278 0.500  0.01
Tl: 0.278 0.777 0.000  0.01
Tl: 0.778 0.278 0.000  0.01
Tl: 0.778 0.778 0.500  0.01
Tl: 0.278 0.277 0.000  0.01

As for the calculated formation energy: -1.95 eV per formula unit. The magnetic moment comes out at 1.7 Bohr magnetons per cell. The space group is I4mm (107).

> calculated formation energy of number 4 (Ce2Y5Tl4)?

1.04 eV per formula unit